# 1
DFT (PBE) results for an optimized crystal structure of CaCd3Sn.

Calculated values
Total magnetic moment, μB per formula unit: 0.00
Energy of formation, meV per atom: 645
Symmetry: Pm-3m (221)

Cell: 5.7447 5.7447 5.7447 Å, 90.00 90.00 90.00°
With the nearest neighbours (Å) after each atom.
Fractional coordinates of all 5 atoms:
Cd1 0.5000 0.0000 0.0000  2 Ca 2.87
Cd2 0.0000 0.0000 0.5000  2 Ca 2.87
Cd3 0.0000 0.5000 0.0000  2 Ca 2.87
Ca1 0.0000 0.0000 0.0000  6 Cd 2.87
Sn1 0.5000 0.5000 0.5000  12 Cd 4.06

***

# 2
DFT (PBE) results for an optimized crystal structure of Te2PtRh.

Calculated values
Total magnetic moment, μB per formula unit: 0.00
Symmetry: I-42d (122)
Formation energy from raw total energies, meV per atom: -104

Cell: 5.8827 5.8827 7.4195 Å, 66.64 66.64 90.00°
With the nearest neighbours (Å) after each atom.
Fractional coordinates of all 8 atoms:
Pt1 0.0000 0.0000 0.0000  4 Te 2.61
Rh1 0.2500 0.7500 0.5000  4 Te 2.56
Te1 0.6168 0.1250 0.2500  2 Rh 2.56, 2 Pt 2.61
Te2 0.1332 0.6250 0.2500  2 Rh 2.56, 2 Pt 2.61
Rh2 0.5000 0.5000 0.0000  4 Te 2.56
Te3 0.8750 0.8668 0.7500  2 Rh 2.56, 2 Pt 2.61
Pt2 0.7500 0.2500 0.5000  4 Te 2.61
Te4 0.3750 0.3832 0.7500  2 Rh 2.56, 2 Pt 2.61

***

# 3
DFT (PBE) results for an optimized crystal structure of BaSi.

Calculated values
Total magnetic moment, μB per formula unit: 0.00
Symmetry: Pm-3m (221)
Formation energy from raw total energies, meV per atom: -1

Cell: 4.0165 4.0165 4.0165 Å, 90.00 90.00 90.00°
With the nearest neighbours (Å) after each atom.
Fractional coordinates of all 2 atoms:
Si1 0.5000 0.5000 0.5000  8 Ba 3.48
Ba1 0.0000 0.0000 0.0000  8 Si 3.48

***

# 4
DFT (PBE) results for an optimized crystal structure of LiAl2Cd.

Calculated values
Total magnetic moment, μB per formula unit: 0.00
Energy of formation, meV per atom: -5
Symmetry: C2/m (12)

Cell: 5.7971 5.7971 2.9676 Å, 74.21 74.21 119.20°
With the nearest neighbours (Å) after each atom.
Fractional coordinates of all 4 atoms:
Cd1 0.5000 0.0000 0.5000  4 Li 2.84-2.93, 4 Al 2.87, 2 Cd 2.97
Al1 0.0000 0.0000 0.0000  6 Al 2.84-2.97, 2 Cd 2.87, 2 Li 2.87
Li1 0.0000 0.5000 0.5000  4 Cd 2.84-2.93, 4 Al 2.87, 2 Li 2.97
Al2 0.5000 0.5000 0.0000  6 Al 2.84-2.97, 2 Li 2.87, 2 Cd 2.87

***

# 5
DFT (PBE) results for an optimized crystal structure of Tb2PuPa.

Calculated values
Total magnetic moment, μB per formula unit: 6.54
Energy of formation, meV per atom: 222
Symmetry: P4/mmm (123)

Cell: 5.1122 4.6569 4.6569 Å, 90.00 90.00 90.00°
With the nearest neighbours (Å) after each atom.
Fractional coordinates of all 4 atoms:
Pu1 0.5000 0.0000 0.0000  4 Pa 3.29, 8 Tb 3.46
Tb1 0.0000 0.0000 0.5000  4 Tb 3.29, 4 Pu 3.46, 4 Pa 3.46
Pa1 0.5000 0.5000 0.5000  4 Pu 3.29, 8 Tb 3.46
Tb2 0.0000 0.5000 0.0000  4 Tb 3.29, 4 Pu 3.46, 4 Pa 3.46

***

# 6
DFT (PBE) results for an optimized crystal structure of Na4Dy3HfS8.

Calculated values
Total magnetic moment, μB per formula unit: 0.00
Symmetry: R-3m (166)
Formation energy from raw total energies, meV per atom: -1730

Cell: 7.7958 8.0759 7.7963 Å, 118.88 120.00 90.00°
With the nearest neighbours (Å) after each atom.
Fractional coordinates of all 16 atoms:
Dy1 0.5000 0.5000 0.0000  6 S 2.73-2.75
Na1 0.5000 0.0000 0.5000  6 S 2.87-2.88
S1 0.2430 0.2763 0.0096  1 Hf 2.62, 2 Dy 2.75, 2 Na 2.87-2.88
S2 0.7439 0.7314 0.4877  3 Dy 2.73, 3 Na 2.88
Dy2 0.5000 0.5000 0.5000  6 S 2.73-2.75
S3 0.7570 0.7237 0.9904  1 Hf 2.62, 2 Dy 2.75, 2 Na 2.87-2.88
Hf1 0.0000 0.5000 0.0000  6 S 2.62
Na2 0.5000 0.0000 0.0000  6 S 3.00
S4 0.7666 0.2763 0.0096  1 Hf 2.62, 2 Dy 2.75, 2 Na 2.87-2.88
Na3 0.0000 0.0000 0.0000  6 S 2.88
Dy3 0.0000 0.5000 0.5000  6 S 2.73-2.75
S5 0.2334 0.7237 0.9904  1 Hf 2.62, 2 Dy 2.75, 2 Na 2.87-2.88
Na4 0.0000 0.0000 0.5000  6 S 2.87-2.88
S6 0.7666 0.2762 0.5331  1 Hf 2.62, 2 Dy 2.75, 2 Na 2.88
S7 0.2334 0.7238 0.4669  1 Hf 2.62, 2 Dy 2.75, 2 Na 2.88
S8 0.2561 0.2686 0.5123  3 Dy 2.73, 3 Na 2.88

***

# 7
DFT (PBE) results for an optimized crystal structure of CsTl2Au.

Calculated values
Total magnetic moment, μB per formula unit: 0.00
Energy of formation, meV per atom: -87
Symmetry: P4/nmm (129)

Cell: 4.8992 4.8992 11.9286 Å, 90.00 90.00 90.00°
With the nearest neighbours (Å) after each atom.
Fractional coordinates of all 8 atoms:
Tl1 0.0000 0.0000 0.5000  4 Au 3.12, 4 Tl 3.46
Tl2 0.5000 0.0000 0.9232  1 Au 3.11
Tl3 0.0000 0.5000 0.0768  1 Au 3.11
Au1 0.0000 0.5000 0.3374  5 Tl 3.11-3.12
Au2 0.5000 0.0000 0.6626  5 Tl 3.11-3.12
Cs1 0.0000 0.5000 0.7642  4 Au 3.67, 9 Tl 3.73-3.99
Cs2 0.5000 0.0000 0.2358  4 Au 3.67, 9 Tl 3.73-3.99
Tl4 0.5000 0.5000 0.5000  4 Au 3.12, 4 Tl 3.46

***

# 8
DFT (PBE) results for an optimized crystal structure of Ho2Be2GaCo5.

Calculated values
Total magnetic moment, μB per formula unit: 0.00
Energy of formation, meV per atom: -238
Symmetry: P4/mbm (127)

Cell: 3.1545 9.0658 9.0658 Å, 90.00 90.00 90.00°
With the nearest neighbours (Å) after each atom.
Fractional coordinates of all 20 atoms:
Co1 0.5000 0.9356 0.2169  2 Be 2.23
Be1 0.0000 0.1173 0.6173  6 Co 2.18-2.23
Co2 0.5000 0.0000 0.5000  4 Be 2.18
Be2 0.0000 0.6173 0.8827  6 Co 2.18-2.23
Co3 0.5000 0.5644 0.7169  2 Be 2.23
Ho1 0.0000 0.1790 0.3210  3 Be 2.61-2.74, 10 Co 2.79-2.87
Be3 0.0000 0.3827 0.1173  6 Co 2.18-2.23
Ho2 0.0000 0.3210 0.8210  3 Be 2.61-2.74, 10 Co 2.79-2.87
Ho3 0.0000 0.8210 0.6790  3 Be 2.61-2.74, 10 Co 2.79-2.87
Ga1 0.0000 0.0000 0.0000  8 Co 2.59
Co4 0.5000 0.5000 0.0000  4 Be 2.18
Ga2 0.0000 0.5000 0.5000  8 Co 2.59
Co5 0.5000 0.2169 0.0644  2 Be 2.23
Co6 0.5000 0.7831 0.9356  2 Be 2.23
Ho4 0.0000 0.6790 0.1790  3 Be 2.61-2.74, 10 Co 2.79-2.87
Be4 0.0000 0.8827 0.3827  6 Co 2.18-2.23
Co7 0.5000 0.7169 0.4356  2 Be 2.23
Co8 0.5000 0.4356 0.2831  2 Be 2.23
Co9 0.5000 0.2831 0.5644  2 Be 2.23
Co10 0.5000 0.0644 0.7831  2 Be 2.23

***

Q: Look up the total magnetic moment of the fifth one.
A: 6.54 μB per formula unit